[1]
This record from Alexandria via LeMat-Bulk describes a crystal of Cr2CdSeS3 relaxed with PBEsol. The functional is SCAN.

Results
Uncorrected formation energy ... -675 kJ/mol of formula units
Total moment ... 0.857 μB/atom
SG ... Imm2
Electronic total energy ... -123.15 eV/f.u.

Lattice parameters (Å, degrees): 7.2690 7.2690 7.2690 120.24 119.81 89.96
Atoms (fractional coordinates):
Cr1 0.2429 0.0000 0.2429
Cr2 0.2458 0.4944 0.2486
Cr3 0.2458 0.9972 0.7514
Cr4 0.7571 0.0000 0.7571
Cd1 0.6464 0.6464 0.0000
Cd2 0.8692 0.3692 0.5000
Se1 0.4881 0.2139 0.7258
Se2 0.4881 0.7622 0.2742
S1 0.0133 0.2339 0.2205
S2 0.0133 0.7928 0.7795
S3 0.0155 0.2310 0.7845
S4 0.0577 0.7696 0.2882
S5 0.4465 0.2310 0.2155
S6 0.4814 0.7696 0.7118

[2]
This record from Alexandria via LeMat-Bulk describes a crystal of Cr2CdSe3S relaxed with PBEsol. The functional is SCAN.

Results
Uncorrected formation energy ... -609 kJ/mol of formula units
Total moment ... 0.857 μB/atom
SG ... Imm2
Electronic total energy ... -143.36 eV/f.u.

Lattice parameters (Å, degrees): 7.4563 7.4563 7.4563 120.17 119.87 89.96
Atoms (fractional coordinates):
Cr1 0.2486 0.0000 0.2486
Cr2 0.7514 0.0000 0.7514
Cr3 0.7548 0.5128 0.7580
Cr4 0.7548 0.9967 0.2420
Cd1 0.1490 0.6490 0.5000
Cd2 0.3733 0.3733 0.0000
Se1 0.5173 0.2391 0.7218
Se2 0.5173 0.7955 0.2782
Se3 0.5197 0.2360 0.2837
Se4 0.9524 0.2360 0.7163
Se5 0.9925 0.2175 0.2251
Se6 0.9925 0.7674 0.7749
S1 0.5613 0.7740 0.7874
S2 0.9866 0.7740 0.2126

Which value of electronic total energy does entry 1 give? -123.15 eV/f.u.